First-principles (GGA-PBE) data for a relaxed KYTcB2 crystal, as listed in Alexandria.

The structure belongs to space group P4/mmm (No. 123); the cell edges are 4.729, 4.729 and 5.356 Å and the angles 90.00°, 90.00° and 90.00°. The inequivalent atoms are K at (0.000, 0.000, 0.000), Y at (0.000, 0.000, 0.500), Tc at (0.500, 0.500, 0.000) and B at (0.000, 0.500, 0.500).

The raw total energy is -3.84 eV/atom. Its density of states at the Fermi level is 1.253 states/eV/atom.

First-principles (GGA-PBE) data for a relaxed KZn2TcB crystal, as listed in Alexandria.

The structure belongs to space group P4/mmm (No. 123); the cell edges are 4.457, 4.457 and 4.284 Å and the angles 90.00°, 90.00° and 90.00°. The inequivalent atoms are K at (0.000, 0.000, 0.000), Zn at (0.000, 0.500, 0.500), Tc at (0.500, 0.500, 0.000) and B at (0.500, 0.500, 0.500).

The raw total energy is -3.43 eV/atom. Its density of states at the Fermi level is 0.718 states/eV/atom.

First-principles (GGA-PBE) data for a relaxed KBTe2 crystal, as listed in Alexandria.

The structure belongs to space group I-42d (No. 122); the cell edges are 7.319, 7.319 and 8.741 Å and the angles 90.00°, 90.00° and 90.00°. The inequivalent atoms are K at (0.000, 0.000, 0.000), B at (0.000, 0.000, 0.500) and Te at (0.130, 0.250, 0.625).

Its energy relative to the elements, uncorrected is -0.19 eV per atom. Its density of states at the Fermi level is 0.000 states/eV/atom.

First-principles (GGA-PBE) data for a relaxed K2BTe crystal, as listed in Alexandria.

The structure belongs to space group I-42d (No. 122); the cell edges are 5.215, 5.215 and 21.317 Å and the angles 90.00°, 90.00° and 90.00°. The inequivalent atoms are K at (0.217, 0.250, 0.125), B at (0.000, 0.000, 0.000) and Te at (0.000, 0.000, 0.500).

The value obtained for the energy above the most stable polymorph in this dataset is 0.160 eV per atom. Its energy relative to the elements, uncorrected is 0.69 eV per atom. Its density of states at the Fermi level is 0.000 states/eV/atom.

First-principles (GGA-PBE) data for a relaxed KBTe3 crystal, as listed in Alexandria.

The structure belongs to space group Pm-3m (No. 221); the cell edges are 6.054, 6.054 and 6.054 Å and the angles 90.00°, 90.00° and 90.00°. The inequivalent atoms are K at (0.000, 0.000, 0.000), B at (0.500, 0.500, 0.500) and Te at (0.000, 0.000, 0.500).

The value obtained for the energy above the most stable polymorph in this dataset is 1.896 eV per atom. Its energy relative to the elements, uncorrected is 1.74 eV per atom. Its density of states at the Fermi level is 1.611 states/eV/atom.

First-principles (GGA-PBE) data for a relaxed K3BTe crystal, as listed in Alexandria.

The structure belongs to space group Pm-3m (No. 221); the cell edges are 5.786, 5.786 and 5.786 Å and the angles 90.00°, 90.00° and 90.00°. The inequivalent atoms are K at (0.000, 0.000, 0.500), B at (0.000, 0.000, 0.000) and Te at (0.500, 0.500, 0.500).

The value obtained for the energy above the most stable polymorph in this dataset is 0.000 eV per atom. Its energy relative to the elements, uncorrected is 0.36 eV per atom. Its density of states at the Fermi level is 0.861 states/eV/atom.